DFT (GGA-PBE) results for crystalline KIn2BiAu at its relaxed geometry.

Lattice parameters (Å, degrees): 7.2104 7.2104 7.2104 139.91 139.91 57.99
Closest atoms and distances in Å follow each position.
Element x y z (fractional)
In: 0.2370 0.7370 0.5000  2 Au 2.83
In: 0.7370 0.2370 0.5000  2 Au 2.83
Bi: 0.3963 0.3963 0.0000  1 Au 2.91, 4 In 3.19
K: 0.0024 0.0024 0.0000  4 Bi 3.74, 4 Au 3.83, 8 In 3.86-4.16
Au: 0.6273 0.6273 0.0000  4 In 2.83, 1 Bi 2.91

Properties
ρ, g/cm³: 7.27
Space-group type: I4mm, No. 107
Final energy, eV per atom: -3.07